A plane-wave DFT calculation with PBE was carried out for crystalline Er5Tm6 at its relaxed geometry.

Computed properties:
Fermi-level density of states = 1.055 states/eV/atom
Calculated total energy = -4.37 eV/atom

Lattice parameters (Å, degrees): 8.935 7.805 6.193 80.24 72.77 55.08
Fractional coordinates of all 11 atoms:
Er 0.759 0.481 0.500
Tm 0.953 0.736 0.171
Tm 0.311 0.736 0.829
Tm 0.835 0.000 0.687
Er 0.500 0.000 0.500
Tm 0.047 0.264 0.829
Tm 0.165 0.000 0.313
Er 0.241 0.519 0.500
Er 0.371 0.258 0.000
Tm 0.689 0.264 0.171
Er 0.629 0.742 0.000

=====

A plane-wave DFT calculation with PBE was carried out for crystalline Er3Tm at its relaxed geometry.

Computed properties:
Fermi-level density of states = 2.632 states/eV/atom
Calculated total energy = -4.40 eV/atom
Offset from the most stable computed form = 146 meV/atom

Lattice parameters (Å, degrees): 5.583 5.583 5.583 60.00 60.00 60.00
Fractional coordinates of all 4 atoms:
Er 0.250 0.250 0.250
Tm 0.500 0.500 0.500
Er 0.750 0.750 0.750
Er 0.000 0.000 0.000

=====

A plane-wave DFT calculation with PBE was carried out for crystalline Er3Tm4 at its relaxed geometry.

Computed properties:
Fermi-level density of states = 1.301 states/eV/atom
Calculated total energy = -4.49 eV/atom

Lattice parameters (Å, degrees): 3.486 4.932 12.589 101.30 97.96 90.00
Fractional coordinates of all 7 atoms:
Tm 0.286 0.786 0.571
Tm 0.571 0.071 0.143
Tm 0.714 0.214 0.429
Er 0.143 0.643 0.286
Er 0.857 0.357 0.714
Tm 0.429 0.929 0.857
Er 0.000 0.500 0.000

=====

A plane-wave DFT calculation with PBE was carried out for crystalline Er7Tm6 at its relaxed geometry.

Computed properties:
Fermi-level density of states = 1.977 states/eV/atom
Calculated total energy = -4.26 eV/atom

Lattice parameters (Å, degrees): 6.420 6.420 12.124 74.65 74.65 60.00
Fractional coordinates of all 13 atoms:
Tm 0.852 0.852 0.443
Tm 0.047 0.047 0.860
Tm 0.148 0.148 0.557
Er 0.591 0.591 0.732
Er 0.409 0.914 0.268
Er 0.591 0.086 0.732
Tm 0.333 0.333 0.002
Tm 0.667 0.667 0.998
Er 0.500 0.500 0.500
Er 0.409 0.409 0.268
Tm 0.953 0.953 0.140
Er 0.914 0.409 0.268
Er 0.086 0.591 0.732

=====

A plane-wave DFT calculation with PBE was carried out for crystalline ErTm at its relaxed geometry.

Computed properties:
Fermi-level density of states = 1.626 states/eV/atom
Calculated total energy = -4.52 eV/atom
Offset from the most stable computed form = 1 meV/atom

Lattice parameters (Å, degrees): 3.566 6.173 6.582 62.02 105.72 90.00
Fractional coordinates of all 4 atoms:
Er 0.125 0.209 0.249
Tm 0.625 0.709 0.251
Tm 0.375 0.291 0.749
Er 0.875 0.791 0.751

=====

A plane-wave DFT calculation with PBE was carried out for crystalline Er3Tm8 at its relaxed geometry.

Computed properties:
Fermi-level density of states = 1.635 states/eV/atom
Calculated total energy = -4.13 eV/atom
Offset from the most stable computed form = 0 meV/atom

Lattice parameters (Å, degrees): 5.420 5.421 14.569 79.19 79.20 60.22
Fractional coordinates of all 11 atoms:
Tm 0.603 0.603 0.198
Tm 0.229 0.230 0.317
Er 0.145 0.145 0.565
Tm 0.397 0.397 0.802
Er 0.000 0.000 0.000
Tm 0.307 0.307 0.083
Tm 0.771 0.770 0.683
Tm 0.068 0.068 0.789
Er 0.855 0.855 0.435
Tm 0.693 0.693 0.917
Tm 0.932 0.932 0.211